{"formula": "LiZr2Pt", "functional": "meta-GGA SCAN", "state": "PBEsol geometry", "ef_mev_per_atom": -561, "magmom_total_mub_per_fu": 0.00, "volume_a3_per_atom": 17.979, "spacegroup": "P4mm (99)", "cell": [[-0.077, -3.315, -0.029], [1.621, -0.063, 2.892], [-5.703, 0.104, 3.199]], "species": ["Pt", "Li", "Zr", "Zr"], "frac_coords": [[0.500, 0.500, 0.730], [0.000, 0.000, 0.540], [0.000, 0.000, 0.963], [0.500, 0.500, 0.267]]}

***

{"formula": "LiZrPt", "functional": "meta-GGA SCAN", "state": "PBEsol geometry", "ef_mev_per_atom": -706, "polymorph_energy_kj_per_mol_fu": 3, "magmom_total_mub_per_fu": 0.00, "volume_a3_per_atom": 16.175, "spacegroup": "Imm2 (44)", "cell": [[-1.909, -2.218, 0.136], [1.386, -0.979, 3.467], [-2.607, 4.182, 0.075]], "species": ["Li", "Zr", "Pt"], "frac_coords": [[0.015, 0.015, 0.029], [0.328, 0.328, 0.655], [0.658, 0.658, 0.315]]}

***

{"formula": "RbLiRe3", "functional": "meta-GGA SCAN", "state": "PBEsol geometry", "ef_mev_per_atom": 4227, "magmom_total_mub_per_fu": 2.79, "volume_a3_per_atom": 20.448, "spacegroup": "Pm-3m (221)", "cell": [[-0.158, -2.078, 4.186], [4.619, 0.567, 0.456], [-0.711, 4.150, 2.033]], "species": ["Li", "Rb", "Re", "Re", "Re"], "frac_coords": [[0.500, 0.500, 0.500], [0.000, 0.000, 0.000], [0.000, 0.000, 0.500], [0.000, 0.500, 0.000], [0.500, 0.000, 0.000]]}

***

{"formula": "RbLi3Re", "functional": "meta-GGA SCAN", "state": "PBEsol geometry", "ef_mev_per_atom": 1111, "magmom_total_mub_per_fu": 3.15, "volume_a3_per_atom": 28.353, "spacegroup": "Pm-3m (221)", "cell": [[5.214, 0.000, 0.000], [0.000, 5.214, 0.000], [0.000, 0.000, 5.214]], "species": ["Li", "Li", "Li", "Re", "Rb"], "frac_coords": [[0.000, 0.000, 0.500], [0.000, 0.500, 0.000], [0.500, 0.000, 0.000], [0.000, 0.000, 0.000], [0.500, 0.500, 0.500]]}

***

{"formula": "Rb2LiRh", "functional": "meta-GGA SCAN", "state": "PBEsol geometry", "ef_mev_per_atom": 832, "magmom_total_mub_per_fu": 0.00, "volume_a3_per_atom": 28.836, "spacegroup": "I-42d (122)", "cell": [[-2.923, 2.660, 2.379], [-2.999, -3.497, 0.225], [7.506, -2.882, 7.971]], "species": ["Rb", "Rb", "Rb", "Rb", "Rh", "Rh", "Li", "Li"], "frac_coords": [[0.125, 0.120, 0.750], [0.625, 0.630, 0.750], [0.880, 0.375, 0.250], [0.370, 0.875, 0.250], [0.000, 0.000, 0.000], [0.250, 0.750, 0.500], [0.750, 0.250, 0.500], [0.500, 0.500, 0.000]]}

***

{"formula": "RbLiTeRu2", "functional": "meta-GGA SCAN", "state": "PBEsol geometry", "magmom_total_mub_per_fu": 1.94, "volume_a3_per_atom": 29.444, "spacegroup": "P4/mmm (123)", "e_form_raw_ev_per_fu": 4.96, "cell": [[4.868, 0.000, 0.000], [0.000, 4.868, 0.000], [0.000, 0.000, 6.212]], "species": ["Te", "Ru", "Ru", "Li", "Rb"], "frac_coords": [[0.000, 0.000, 0.000], [0.000, 0.500, 0.000], [0.500, 0.000, 0.000], [0.500, 0.500, 0.500], [0.000, 0.000, 0.500]]}

***

{"formula": "RbLi3S", "functional": "meta-GGA SCAN", "state": "PBEsol geometry", "magmom_total_mub_per_fu": 0.00, "volume_a3_per_atom": 25.041, "spacegroup": "Pm-3m (221)", "e_form_raw_ev_per_fu": -2.60, "cell": [[-1.715, -2.028, 4.240], [4.317, -2.463, 0.568], [1.857, 3.853, 2.594]], "species": ["Li", "Li", "Li", "S", "Rb"], "frac_coords": [[0.000, 0.500, 0.000], [0.500, 0.000, 0.000], [0.000, 0.000, 0.500], [0.000, 0.000, 0.000], [0.500, 0.500, 0.500]]}

***

{"formula": "RbLi2S2", "functional": "meta-GGA SCAN", "state": "PBEsol geometry", "magmom_total_mub_per_fu": 1.00, "volume_a3_per_atom": 19.866, "spacegroup": "I4/mmm (139)", "e_form_raw_ev_per_fu": -5.92, "cell": [[-0.255, 2.013, -3.753], [-4.255, 0.027, 0.304], [2.469, 3.792, 4.291]], "species": ["S", "S", "Li", "Li", "Rb"], "frac_coords": [[0.639, 0.639, 0.279], [0.361, 0.361, 0.721], [0.750, 0.250, 0.500], [0.250, 0.750, 0.500], [0.000, 0.000, 0.000]]}

***

{"formula": "RbLiS2", "functional": "meta-GGA SCAN", "state": "PBEsol geometry", "magmom_total_mub_per_fu": 0.00, "volume_a3_per_atom": 24.328, "spacegroup": "I-42d (122)", "e_form_raw_ev_per_fu": -3.94, "cell": [[-0.056, 4.915, 0.533], [-4.818, 0.065, -1.109], [0.650, -3.346, 7.999]], "species": ["Rb", "Rb", "S", "S", "S", "S", "Li", "Li"], "frac_coords": [[0.250, 0.750, 0.500], [0.000, 0.000, 0.000], [0.625, 0.326, 0.750], [0.674, 0.875, 0.250], [0.125, 0.424, 0.750], [0.576, 0.375, 0.250], [0.500, 0.500, 0.000], [0.750, 0.250, 0.500]]}

***

{"formula": "Rb2LiVS4", "functional": "meta-GGA SCAN", "state": "PBEsol geometry", "magmom_total_mub_per_fu": 0.00, "volume_a3_per_atom": 27.043, "spacegroup": "Fddd (70)", "e_form_raw_ev_per_fu": -10.99, "cell": [[5.767, 0.000, 0.000], [2.883, 6.513, 0.000], [2.883, 0.000, 11.520]], "species": ["V", "V", "Li", "Li", "S", "S", "S", "S", "S", "S", "S", "S", "Rb", "Rb", "Rb", "Rb"], "frac_coords": [[0.250, 0.500, 0.500], [0.500, 0.000, 0.000], [0.000, 0.000, 0.000], [0.750, 0.500, 0.500], [0.615, 0.310, 0.394], [0.319, 0.690, 0.606], [0.431, 0.810, 0.894], [0.135, 0.190, 0.106], [0.675, 0.190, 0.894], [0.991, 0.690, 0.394], [0.759, 0.810, 0.106], [0.075, 0.310, 0.606], [0.678, 0.000, 0.643], [0.428, 0.500, 0.143], [0.072, 0.500, 0.857], [0.322, 0.000, 0.357]]}

***

{"formula": "RbLiSb2Te", "functional": "meta-GGA SCAN", "state": "PBEsol geometry", "polymorph_energy_kj_per_mol_fu": 542, "magmom_total_mub_per_fu": 0.00, "volume_a3_per_atom": 43.416, "spacegroup": "P4/mmm (123)", "e_form_raw_ev_per_fu": 5.05, "cell": [[5.948, 0.000, 0.000], [0.000, 5.948, 0.000], [0.000, 0.000, 6.137]], "species": ["Sb", "Sb", "Li", "Rb", "Te"], "frac_coords": [[0.000, 0.500, 0.000], [0.500, 0.000, 0.000], [0.500, 0.500, 0.500], [0.000, 0.000, 0.000], [0.000, 0.000, 0.500]]}

***

{"formula": "RbLiSb2Te", "functional": "meta-GGA SCAN", "state": "PBEsol geometry", "polymorph_energy_kj_per_mol_fu": 0, "magmom_total_mub_per_fu": 0.00, "volume_a3_per_atom": 28.511, "spacegroup": "P4/mmm (123)", "e_form_raw_ev_per_fu": -0.57, "cell": [[5.117, 0.000, 0.000], [0.000, 5.117, 0.000], [0.000, 0.000, 5.445]], "species": ["Te", "Sb", "Sb", "Rb", "Li"], "frac_coords": [[0.000, 0.000, 0.500], [0.500, 0.000, 0.000], [0.000, 0.500, 0.000], [0.500, 0.500, 0.500], [0.000, 0.000, 0.000]]}

***

{"formula": "RbLiSbTe2", "functional": "meta-GGA SCAN", "state": "PBEsol geometry", "magmom_total_mub_per_fu": 0.00, "volume_a3_per_atom": 29.034, "spacegroup": "P4/mmm (123)", "e_form_raw_ev_per_fu": -1.18, "cell": [[5.042, 0.000, 0.000], [0.000, 5.366, 0.000], [0.000, 0.000, 5.366]], "species": ["Sb", "Te", "Te", "Li", "Rb"], "frac_coords": [[0.500, 0.000, 0.000], [0.000, 0.000, 0.500], [0.000, 0.500, 0.000], [0.000, 0.000, 0.000], [0.500, 0.500, 0.500]]}

***

{"formula": "RbLi3Se", "functional": "meta-GGA SCAN", "state": "PBEsol geometry", "magmom_total_mub_per_fu": 0.00, "volume_a3_per_atom": 27.881, "spacegroup": "Pm-3m (221)", "e_form_raw_ev_per_fu": -2.60, "cell": [[5.185, 0.000, 0.000], [0.000, 5.185, 0.000], [0.000, 0.000, 5.185]], "species": ["Li", "Li", "Li", "Se", "Rb"], "frac_coords": [[0.500, 0.000, 0.000], [0.000, 0.500, 0.000], [0.000, 0.000, 0.500], [0.000, 0.000, 0.000], [0.500, 0.500, 0.500]]}

***

{"formula": "RbLi2Se2", "functional": "meta-GGA SCAN", "state": "PBEsol geometry", "magmom_total_mub_per_fu": 0.95, "volume_a3_per_atom": 22.579, "spacegroup": "I4/mmm (139)", "e_form_raw_ev_per_fu": -5.91, "cell": [[4.460, 0.000, 0.000], [0.000, 4.460, 0.000], [-2.230, -2.230, 5.676]], "species": ["Rb", "Se", "Se", "Li", "Li"], "frac_coords": [[0.000, 0.000, 0.000], [0.637, 0.637, 0.273], [0.363, 0.363, 0.727], [0.250, 0.750, 0.500], [0.750, 0.250, 0.500]]}

***

{"formula": "RbLi2SnSe", "functional": "meta-GGA SCAN", "state": "PBEsol geometry", "magmom_total_mub_per_fu": 0.00, "volume_a3_per_atom": 32.118, "spacegroup": "P4/mmm (123)", "e_form_raw_ev_per_fu": 4.30, "cell": [[-2.840, 4.009, 1.336], [-2.922, -0.701, -4.110], [-3.714, -3.723, 3.275]], "species": ["Li", "Li", "Se", "Sn", "Rb"], "frac_coords": [[0.500, 0.000, 0.000], [0.000, 0.500, 0.000], [0.500, 0.500, 0.500], [0.000, 0.000, 0.500], [0.000, 0.000, 0.000]]}

***

{"formula": "RbSrLi2", "functional": "meta-GGA SCAN", "state": "PBEsol geometry", "ef_mev_per_atom": 277, "magmom_total_mub_per_fu": 0.06, "volume_a3_per_atom": 43.097, "spacegroup": "I-42d (122)", "cell": [[-3.765, -0.596, -6.664], [1.667, -5.776, -4.848], [-6.520, -4.123, -0.370]], "species": ["Sr", "Sr", "Li", "Li", "Li", "Li", "Rb", "Rb"], "frac_coords": [[0.750, 0.500, 0.500], [0.000, 0.000, 0.000], [0.875, 0.501, 0.999], [0.624, 0.001, 0.501], [0.375, 0.499, 0.001], [0.126, 0.999, 0.499], [0.500, 0.000, 0.000], [0.250, 0.500, 0.500]]}

***

{"formula": "RbLiTc3", "functional": "meta-GGA SCAN", "state": "PBEsol geometry", "ef_mev_per_atom": 2063, "magmom_total_mub_per_fu": 6.51, "volume_a3_per_atom": 18.078, "spacegroup": "Pm-3m (221)", "cell": [[-0.313, 4.149, 1.681], [-0.007, -1.686, 4.159], [4.477, 0.288, 0.124]], "species": ["Tc", "Tc", "Tc", "Rb", "Li"], "frac_coords": [[0.000, 0.500, 0.000], [0.000, 0.000, 0.500], [0.500, 0.000, 0.000], [0.500, 0.500, 0.500], [0.000, 0.000, 0.000]]}

***

{"formula": "RbLi3Te", "functional": "meta-GGA SCAN", "state": "PBEsol geometry", "magmom_total_mub_per_fu": 0.00, "volume_a3_per_atom": 32.922, "spacegroup": "Pm-3m (221)", "e_form_raw_ev_per_fu": -2.01, "cell": [[5.481, 0.000, 0.000], [0.000, 5.481, 0.000], [0.000, 0.000, 5.481]], "species": ["Li", "Li", "Li", "Rb", "Te"], "frac_coords": [[0.000, 0.500, 0.000], [0.500, 0.000, 0.000], [0.000, 0.000, 0.500], [0.500, 0.500, 0.500], [0.000, 0.000, 0.000]]}

***

{"formula": "Rb2Li2Te", "functional": "meta-GGA SCAN", "state": "PBEsol geometry", "magmom_total_mub_per_fu": 0.00, "volume_a3_per_atom": 34.622, "spacegroup": "P4/mbm (127)", "e_form_raw_ev_per_fu": -2.24, "cell": [[-3.778, 1.650, 4.051], [-5.716, -3.430, -3.933], [1.281, -6.577, 3.874]], "species": ["Rb", "Rb", "Rb", "Rb", "Li", "Li", "Li", "Li", "Te", "Te"], "frac_coords": [[0.500, 0.800, 0.300], [0.500, 0.200, 0.700], [0.500, 0.700, 0.800], [0.500, 0.300, 0.200], [0.000, 0.642, 0.142], [0.000, 0.858, 0.642], [0.000, 0.142, 0.358], [0.000, 0.358, 0.858], [0.000, 0.500, 0.500], [0.000, 0.000, 0.000]]}